A relaxed NdCuCl4 crystal. Source: Alexandria, functional PBE-GGA.

Summary:
E_form (uncorrected) in eV/atom: -1.623
SG: I4_1/amd (141)
N(E_F) in states/eV per atom: 0.000

Cell and atoms, written as extended XYZ:
```
12
Lattice="-4.4008 4.4008 4.1345 4.4008 -4.4008 4.1345 4.4008 4.4008 -4.1345" Properties=species:S:1:pos:R:3 pbc="T T T"
Nd 4.4008 2.2004 1.0336
Nd 0.0000 2.2004 3.1008
Cu 4.4008 -2.2004 3.1008
Cu 0.0000 6.6012 1.0336
Cl 4.4008 -0.5720 1.4744
Cl 4.4008 3.8288 -1.4744
Cl 1.6284 2.2004 0.5928
Cl 2.7724 -2.2004 4.7273
Cl 1.6284 6.6012 -0.5928
Cl 2.7724 2.2004 3.5416
Cl 0.0000 0.5720 5.6089
Cl 0.0000 4.9728 2.6600
```